a | A relaxed structure of RbZrGa3, computed with PBE-GGA.

Unit cell a=5.416 b=5.416 c=5.416 alpha=90.00 beta=90.00 gamma=90.00
Positions (direct):
1 Ga 0.000 0.500 0.000
2 Ga 0.000 0.000 0.500
3 Ga 0.500 0.000 0.000
4 Rb 0.500 0.500 0.500
5 Zr 0.000 0.000 0.000

Computed properties:
SG = Pm-3m (221)
Total magnetic moment = 0.00 Bohr magnetons per cell

b | A relaxed structure of RbZrGa3, computed with PBE-GGA.

Unit cell a=5.336 b=5.336 c=5.336 alpha=90.00 beta=90.00 gamma=90.00
Positions (direct):
1 Ga 0.000 0.500 0.000
2 Ga 0.000 0.000 0.500
3 Ga 0.500 0.000 0.000
4 Rb 0.000 0.000 0.000
5 Zr 0.500 0.500 0.500

Computed properties:
SG = Pm-3m (221)
Total magnetic moment = 0.00 Bohr magnetons per cell

What should be chosen as the most stable of them? Choose a.

a | A relaxed structure of RbZr2Ga2, computed with PBE-GGA.

Unit cell a=8.823 b=8.823 c=3.026 alpha=90.00 beta=90.00 gamma=90.00
Positions (direct):
1 Ga 0.167 0.667 0.500
2 Ga 0.667 0.833 0.500
3 Ga 0.833 0.333 0.500
4 Ga 0.333 0.167 0.500
5 Rb 0.000 0.000 0.000
6 Rb 0.500 0.500 0.000
7 Zr 0.375 0.875 0.000
8 Zr 0.875 0.625 0.000
9 Zr 0.625 0.125 0.000
10 Zr 0.125 0.375 0.000

Computed properties:
SG = P4/mbm (127)
Total magnetic moment = 0.00 Bohr magnetons per cell

b | A relaxed structure of RbZr2Ga2, computed with PBE-GGA.

Unit cell a=5.111 b=5.111 c=6.777 alpha=67.85 beta=67.85 gamma=90.00
Positions (direct):
1 Ga 0.750 0.250 0.500
2 Ga 0.250 0.750 0.500
3 Rb 0.000 0.000 0.000
4 Zr 0.328 0.328 0.345
5 Zr 0.672 0.672 0.655

Computed properties:
SG = I4/mmm (139)
Total magnetic moment = 1.00 Bohr magnetons per cell

What should be chosen as the most stable of them? Choose a.

a | A relaxed structure of Ga3Re, computed with PBE-GGA.

Unit cell a=3.238 b=4.514 c=5.071 alpha=116.43 beta=108.62 gamma=90.00
Positions (direct):
1 Re 0.000 0.999 0.000
2 Ga 0.262 0.613 0.524
3 Ga 0.500 0.466 0.000
4 Ga 0.738 0.089 0.476

Computed properties:
SG = Imm2 (44)
Total magnetic moment = 0.00 Bohr magnetons per cell

b | A relaxed structure of Ga3Re, computed with PBE-GGA.

Unit cell a=6.534 b=6.534 c=7.080 alpha=90.00 beta=90.00 gamma=90.00
Positions (direct):
1 Ga 0.000 0.500 0.500
2 Ga 0.500 0.000 0.000
3 Ga 0.500 0.000 0.500
4 Ga 0.000 0.500 0.000
5 Ga 0.333 0.667 0.244
6 Ga 0.667 0.333 0.244
7 Ga 0.167 0.167 0.744
8 Ga 0.833 0.833 0.744
9 Ga 0.667 0.333 0.756
10 Ga 0.333 0.667 0.756
11 Ga 0.833 0.833 0.256
12 Ga 0.167 0.167 0.256
13 Re 0.143 0.857 0.500
14 Re 0.857 0.143 0.500
15 Re 0.357 0.357 0.000
16 Re 0.643 0.643 0.000

Computed properties:
SG = P4_2/mnm (136)
Total magnetic moment = 0.00 Bohr magnetons per cell

What should be chosen as the most stable of them? Choose b.

a | A relaxed structure of Ga2ReRh2, computed with PBE-GGA.

Unit cell a=7.153 b=7.153 c=2.817 alpha=90.00 beta=90.00 gamma=90.00
Positions (direct):
1 Re 0.000 0.000 0.000
2 Re 0.500 0.500 0.000
3 Rh 0.165 0.665 0.500
4 Rh 0.665 0.835 0.500
5 Rh 0.835 0.335 0.500
6 Rh 0.335 0.165 0.500
7 Ga 0.365 0.865 0.000
8 Ga 0.865 0.635 0.000
9 Ga 0.635 0.135 0.000
10 Ga 0.135 0.365 0.000

Computed properties:
SG = P4/mbm (127)
Total magnetic moment = 0.00 Bohr magnetons per cell

b | A relaxed structure of Ga2ReRh2, computed with PBE-GGA.

Unit cell a=7.242 b=7.242 c=2.805 alpha=90.00 beta=90.00 gamma=90.00
Positions (direct):
1 Re 0.000 0.000 0.000
2 Re 0.500 0.500 0.000
3 Rh 0.365 0.865 0.000
4 Rh 0.865 0.635 0.000
5 Rh 0.635 0.135 0.000
6 Rh 0.135 0.365 0.000
7 Ga 0.164 0.664 0.500
8 Ga 0.664 0.836 0.500
9 Ga 0.836 0.336 0.500
10 Ga 0.336 0.164 0.500

Computed properties:
SG = P4/mbm (127)
Total magnetic moment = 0.86 Bohr magnetons per cell

What should be chosen as the most stable of them? Choose a.

a | A relaxed structure of GaRe3Rh, computed with PBE-GGA.

Unit cell a=4.687 b=4.687 c=4.687 alpha=90.00 beta=90.00 gamma=90.00
Positions (direct):
1 Re 0.000 0.500 0.000
2 Re 0.000 0.000 0.500
3 Re 0.500 0.000 0.000
4 Rh 0.000 0.000 0.000
5 Ga 0.500 0.500 0.500

Computed properties:
SG = Pm-3m (221)
Total magnetic moment = 1.80 Bohr magnetons per cell

b | A relaxed structure of GaRe3Rh, computed with PBE-GGA.

Unit cell a=4.459 b=4.459 c=4.459 alpha=90.00 beta=90.00 gamma=90.00
Positions (direct):
1 Re 0.000 0.500 0.000
2 Re 0.000 0.000 0.500
3 Re 0.500 0.000 0.000
4 Rh 0.500 0.500 0.500
5 Ga 0.000 0.000 0.000

Computed properties:
SG = Pm-3m (221)
Total magnetic moment = 0.00 Bohr magnetons per cell

What should be chosen as the most stable of them? Choose b.

a | A relaxed structure of GaReRh3, computed with PBE-GGA.

Unit cell a=4.717 b=4.717 c=4.717 alpha=90.00 beta=90.00 gamma=90.00
Positions (direct):
1 Re 0.000 0.000 0.000
2 Rh 0.000 0.500 0.000
3 Rh 0.000 0.000 0.500
4 Rh 0.500 0.000 0.000
5 Ga 0.500 0.500 0.500

Computed properties:
SG = Pm-3m (221)
Total magnetic moment = 0.00 Bohr magnetons per cell

b | A relaxed structure of GaReRh3, computed with PBE-GGA.

Unit cell a=4.449 b=4.449 c=4.449 alpha=90.00 beta=90.00 gamma=90.00
Positions (direct):
1 Re 0.500 0.500 0.500
2 Rh 0.000 0.500 0.000
3 Rh 0.000 0.000 0.500
4 Rh 0.500 0.000 0.000
5 Ga 0.000 0.000 0.000

Computed properties:
SG = Pm-3m (221)
Total magnetic moment = 3.08 Bohr magnetons per cell

What should be chosen as the most stable of them? Choose a.

a | A relaxed structure of GaRe3Ru, computed with PBE-GGA.

Unit cell a=4.679 b=4.679 c=4.679 alpha=90.00 beta=90.00 gamma=90.00
Positions (direct):
1 Re 0.000 0.500 0.000
2 Re 0.000 0.000 0.500
3 Re 0.500 0.000 0.000
4 Ga 0.500 0.500 0.500
5 Ru 0.000 0.000 0.000

Computed properties:
SG = Pm-3m (221)
Total magnetic moment = 1.85 Bohr magnetons per cell

b | A relaxed structure of GaRe3Ru, computed with PBE-GGA.

Unit cell a=4.445 b=4.445 c=4.445 alpha=90.00 beta=90.00 gamma=90.00
Positions (direct):
1 Re 0.000 0.500 0.000
2 Re 0.000 0.000 0.500
3 Re 0.500 0.000 0.000
4 Ga 0.000 0.000 0.000
5 Ru 0.500 0.500 0.500

Computed properties:
SG = Pm-3m (221)
Total magnetic moment = 0.00 Bohr magnetons per cell

What should be chosen as the most stable of them? Choose b.

a | A relaxed structure of GaRe2S, computed with PBE-GGA.

Unit cell a=4.285 b=4.285 c=4.285 alpha=60.00 beta=60.00 gamma=60.00
Positions (direct):
1 Re 0.250 0.250 0.250
2 Re 0.750 0.750 0.750
3 S 0.000 0.000 0.000
4 Ga 0.500 0.500 0.500

Computed properties:
SG = Fm-3m (225)
Total magnetic moment = 0.00 Bohr magnetons per cell

b | A relaxed structure of GaRe2S, computed with PBE-GGA.

Unit cell a=4.025 b=4.025 c=8.809 alpha=76.80 beta=76.80 gamma=90.00
Positions (direct):
1 Re 0.559 0.125 0.250
2 Re 0.191 0.625 0.250
3 Re 0.375 0.441 0.750
4 Re 0.875 0.809 0.750
5 S 0.500 0.500 0.000
6 S 0.250 0.750 0.500
7 Ga 0.000 0.000 0.000
8 Ga 0.750 0.250 0.500

Computed properties:
SG = I-42d (122)
Total magnetic moment = 0.00 Bohr magnetons per cell

What should be chosen as the most stable of them? Choose a.

a | A relaxed structure of GaRe2S2, computed with PBE-GGA.

Unit cell a=4.545 b=4.545 c=5.302 alpha=64.62 beta=64.62 gamma=90.00
Positions (direct):
1 Re 0.362 0.362 0.276
2 Re 0.638 0.638 0.724
3 S 0.750 0.250 0.500
4 S 0.250 0.750 0.500
5 Ga 0.000 0.000 0.000

Computed properties:
SG = I4/mmm (139)
Total magnetic moment = 0.00 Bohr magnetons per cell

b | A relaxed structure of GaRe2S2, computed with PBE-GGA.

Unit cell a=7.127 b=7.127 c=2.927 alpha=90.00 beta=90.00 gamma=90.00
Positions (direct):
1 Re 0.335 0.835 0.000
2 Re 0.835 0.665 0.000
3 Re 0.665 0.165 0.000
4 Re 0.165 0.335 0.000
5 S 0.140 0.640 0.500
6 S 0.640 0.860 0.500
7 S 0.860 0.360 0.500
8 S 0.360 0.140 0.500
9 Ga 0.000 0.000 0.000
10 Ga 0.500 0.500 0.000

Computed properties:
SG = P4/mbm (127)
Total magnetic moment = 0.00 Bohr magnetons per cell

What should be chosen as the most stable of them? Choose a.

a | A relaxed structure of GaRe2Sb, computed with PBE-GGA.

Unit cell a=4.500 b=4.500 c=4.500 alpha=60.00 beta=60.00 gamma=60.00
Positions (direct):
1 Re 0.250 0.250 0.250
2 Re 0.750 0.750 0.750
3 Ga 0.000 0.000 0.000
4 Sb 0.500 0.500 0.500

Computed properties:
SG = Fm-3m (225)
Total magnetic moment = 0.00 Bohr magnetons per cell

b | A relaxed structure of GaRe2Sb, computed with PBE-GGA.

Unit cell a=4.108 b=4.108 c=9.539 alpha=77.57 beta=77.57 gamma=90.00
Positions (direct):
1 Re 0.548 0.125 0.250
2 Re 0.202 0.625 0.250
3 Re 0.375 0.452 0.750
4 Re 0.875 0.798 0.750
5 Ga 0.500 0.500 0.000
6 Ga 0.250 0.750 0.500
7 Sb 0.000 0.000 0.000
8 Sb 0.750 0.250 0.500

Computed properties:
SG = I-42d (122)
Total magnetic moment = 0.00 Bohr magnetons per cell

What should be chosen as the most stable of them? Choose a.

a | A relaxed structure of GaRe3Sb, computed with PBE-GGA.

Unit cell a=4.594 b=4.594 c=4.594 alpha=90.00 beta=90.00 gamma=90.00
Positions (direct):
1 Re 0.000 0.500 0.000
2 Re 0.000 0.000 0.500
3 Re 0.500 0.000 0.000
4 Ga 0.000 0.000 0.000
5 Sb 0.500 0.500 0.500

Computed properties:
SG = Pm-3m (221)
Total magnetic moment = 2.47 Bohr magnetons per cell

b | A relaxed structure of GaRe3Sb, computed with PBE-GGA.

Unit cell a=4.854 b=4.854 c=4.854 alpha=90.00 beta=90.00 gamma=90.00
Positions (direct):
1 Re 0.000 0.500 0.000
2 Re 0.000 0.000 0.500
3 Re 0.500 0.000 0.000
4 Ga 0.500 0.500 0.500
5 Sb 0.000 0.000 0.000

Computed properties:
SG = Pm-3m (221)
Total magnetic moment = 2.33 Bohr magnetons per cell

What should be chosen as the most stable of them? Choose a.

a | A relaxed structure of ScGa3Re, computed with PBE-GGA.

Unit cell a=4.774 b=4.774 c=4.774 alpha=90.00 beta=90.00 gamma=90.00
Positions (direct):
1 Sc 0.500 0.500 0.500
2 Re 0.000 0.000 0.000
3 Ga 0.000 0.500 0.000
4 Ga 0.000 0.000 0.500
5 Ga 0.500 0.000 0.000

Computed properties:
SG = Pm-3m (221)
Total magnetic moment = 0.00 Bohr magnetons per cell

b | A relaxed structure of ScGa3Re, computed with PBE-GGA.

Unit cell a=4.861 b=4.861 c=4.861 alpha=90.00 beta=90.00 gamma=90.00
Positions (direct):
1 Sc 0.000 0.000 0.000
2 Re 0.500 0.500 0.500
3 Ga 0.000 0.500 0.000
4 Ga 0.000 0.000 0.500
5 Ga 0.500 0.000 0.000

Computed properties:
SG = Pm-3m (221)
Total magnetic moment = 0.54 Bohr magnetons per cell

What should be chosen as the most stable of them? Choose a.